[1]
# Nd3Ho6Mg

Nd3Ho6Mg after structural relaxation (PBE, Alexandria via LeMat-Bulk).

- Energy relative to the elements: 0.122 eV per atom

abc: 9.092 8.799 8.799
angles: 115.21 90.00 90.00
Positions (direct):
Ho 0.153 0.703 0.297
Ho 0.601 0.140 0.283
Mg 0.507 0.761 0.239
Ho 0.767 0.831 0.524
Ho 0.601 0.717 0.860
Nd 0.926 0.467 0.533
Ho 0.786 0.066 0.934
Nd 0.439 0.970 0.678
Nd 0.939 0.678 0.970
Ho 0.286 0.934 0.066
Nd 0.439 0.322 0.030
Ho 0.101 0.283 0.140
Nd 0.939 0.030 0.322
Ho 0.101 0.860 0.717
Mg 0.007 0.239 0.761
Ho 0.653 0.297 0.703
Ho 0.267 0.169 0.476
Nd 0.426 0.533 0.467
Ho 0.767 0.476 0.169
Ho 0.267 0.524 0.831



[2]
# KTl3

KTl3 after structural relaxation (PBE, Alexandria via LeMat-Bulk).

- Energy relative to the elements: -0.087 eV per atom

abc: 5.286 6.954 7.554
angles: 90.00 90.00 90.00
Positions (direct):
Tl 0.000 0.500 0.268
K 0.500 0.500 0.600
Tl 0.500 0.244 0.125
Tl 0.000 0.744 0.875
Tl 0.500 0.000 0.732
Tl 0.500 0.756 0.125
Tl 0.000 0.256 0.875
K 0.000 0.000 0.400



[3]
# TbHo15Tm4

TbHo15Tm4 after structural relaxation (PBE, Alexandria via LeMat-Bulk).

- Energy relative to the elements: 0.021 eV per atom

abc: 4.965 4.965 24.821
angles: 90.00 90.00 90.00
Positions (direct):
Ho 0.500 0.000 0.899
Ho 0.500 0.000 0.500
Ho 0.500 0.500 0.799
Ho 0.000 0.500 0.500
Tm 0.000 0.000 0.400
Ho 0.000 0.500 0.700
Ho 0.500 0.000 0.101
Tm 0.000 0.000 0.200
Ho 0.000 0.500 0.300
Ho 0.000 0.500 0.101
Ho 0.500 0.500 0.400
Ho 0.500 0.500 0.600
Ho 0.500 0.500 0.201
Tm 0.000 0.000 0.600
Ho 0.500 0.000 0.300
Ho 0.500 0.000 0.700
Tm 0.000 0.000 0.800
Ho 0.000 0.500 0.899
Ho 0.500 0.500 0.000
Tb 0.000 0.000 0.000



> What is the formula in the first record?

Nd3Ho6Mg



Please write out number 3 again, unchanged.
# TbHo15Tm4

TbHo15Tm4 after structural relaxation (PBE, Alexandria via LeMat-Bulk).

- Energy relative to the elements: 0.021 eV per atom

abc: 4.965 4.965 24.821
angles: 90.00 90.00 90.00
Positions (direct):
Ho 0.500 0.000 0.899
Ho 0.500 0.000 0.500
Ho 0.500 0.500 0.799
Ho 0.000 0.500 0.500
Tm 0.000 0.000 0.400
Ho 0.000 0.500 0.700
Ho 0.500 0.000 0.101
Tm 0.000 0.000 0.200
Ho 0.000 0.500 0.300
Ho 0.000 0.500 0.101
Ho 0.500 0.500 0.400
Ho 0.500 0.500 0.600
Ho 0.500 0.500 0.201
Tm 0.000 0.000 0.600
Ho 0.500 0.000 0.300
Ho 0.500 0.000 0.700
Tm 0.000 0.000 0.800
Ho 0.000 0.500 0.899
Ho 0.500 0.500 0.000
Tb 0.000 0.000 0.000



> Which value of energy relative to the elements does entry 2 give?

-0.087 eV per atom



> The lowest energy relative to the elements belongs to which entry?

KTl3